Record 1
Crystalline NiTe6Os at its relaxed geometry, computed with PBE.

Structure (extended XYZ):
```
8
Lattice="-0.508 6.166 -2.065 -2.201 4.647 4.063 4.114 4.701 2.350" Properties=species:S:1:pos:R:3 pbc="T T T"
Te 0.263 5.820 0.416
Te 2.078 5.899 3.467
Te -0.673 9.615 0.880
Te 1.143 9.694 3.932
Te 2.681 8.431 0.552
Te -1.275 7.083 3.796
Ni 0.000 0.000 0.000
Os 0.703 7.757 2.174
```

## Properties
The uncorrected energy comes out at -36.0 eV for the cell shown.

---

Record 2
Crystalline Rb2PuVCl6 at its relaxed geometry, computed with PBE.

Structure (extended XYZ):
```
20
Lattice="-5.470 -4.772 1.827 5.092 -4.851 2.573 -0.645 4.415 9.599" Properties=species:S:1:pos:R:3 pbc="T T T"
Rb 0.603 -2.715 10.044
Rb 0.925 -4.923 5.244
Rb 1.109 -0.107 3.042
Rb 0.787 2.101 7.841
Cl 3.329 -0.274 9.249
Cl 0.724 -1.406 6.532
Cl -1.878 -3.677 7.401
Cl -1.633 -2.439 4.074
Cl -1.697 0.899 5.309
Cl 1.310 -3.623 1.754
Cl -1.939 -0.340 8.637
Cl -4.297 -1.370 6.178
Cl 3.731 -5.928 2.977
Cl -1.557 -6.125 2.712
Cl 0.862 -8.431 3.936
Cl 3.667 -2.591 4.212
Pu -1.459 -3.601 1.558
Pu 3.494 -1.428 6.728
V 3.821 -3.640 1.931
V -1.787 -1.389 6.355
```

## Properties
The uncorrected energy comes out at -105.8 eV for the cell shown.

---

Record 3
Crystalline AcLa6Ni3 at its relaxed geometry, computed with PBE.

Structure (extended XYZ):
```
20
Lattice="-7.072 2.947 -4.650 3.084 -2.495 -6.273 -2.873 -8.278 1.880" Properties=species:S:1:pos:R:3 pbc="T T T"
La -0.886 -0.833 -6.153
La -0.561 -4.338 -5.807
La -3.907 -6.132 -6.739
La -2.482 -2.076 -3.261
La -6.368 -3.771 -7.680
La -0.745 -8.233 -5.847
La -1.968 -8.763 -0.435
La -5.829 -3.869 -4.193
La -4.591 -0.826 -6.294
La -4.360 0.507 -9.690
La -0.870 -3.749 -0.594
La -6.352 -6.688 -2.121
Ni -4.266 -3.838 -1.666
Ni -8.334 -3.314 -3.063
Ni -5.990 -6.706 -4.952
Ni -3.368 -3.363 -5.804
Ni 0.131 -3.425 -3.247
Ni -2.213 -0.033 -1.359
Ac -2.745 -3.089 -8.569
Ac -2.808 -5.795 -3.132
```

## Properties
The uncorrected energy comes out at -105.3 eV for the cell shown. Its formation energy is -0.16 eV per atom.

---

Record 4
Crystalline Na3ScRu at its relaxed geometry, computed with PBE.

Structure (extended XYZ):
```
5
Lattice="-3.614 2.389 -2.951 -2.373 -4.602 -0.818 -2.964 0.772 4.254" Properties=species:S:1:pos:R:3 pbc="T T T"
Na -1.807 1.194 -1.476
Na -1.482 0.386 2.127
Na -1.187 -2.301 -0.409
Ru 0.000 0.000 0.000
Sc -4.476 -0.721 0.242
```

## Properties
The uncorrected energy comes out at -13.4 eV for the cell shown. Its formation energy is 1.23 eV per atom.

---

Record 5
Crystalline Na6Hg2Pt at its relaxed geometry, computed with PBE.

Structure (extended XYZ):
```
9
Lattice="5.014 0.000 1.376 2.318 4.446 1.376 -0.235 -0.143 10.678" Properties=species:S:1:pos:R:3 pbc="T T T"
Na 2.228 1.351 1.703
Na 2.835 1.719 9.314
Na 5.786 3.509 8.382
Na 1.310 0.794 5.048
Na 4.262 2.584 4.116
Na 4.868 2.952 11.727
Hg 6.615 4.011 5.365
Hg 0.482 0.292 8.066
Pt 0.000 0.000 0.000
```

## Properties
The uncorrected energy comes out at -16.1 eV for the cell shown. Its formation energy is -0.17 eV per atom.

---

Record 6
Crystalline Pr2TmPu3Se6 at its relaxed geometry, computed with PBE.

Structure (extended XYZ):
```
12
Lattice="4.150 0.000 0.000 0.000 8.359 0.278 -2.075 -2.429 8.759" Properties=species:S:1:pos:R:3 pbc="T T T"
Pu 2.075 4.180 0.139
Pu 2.075 -0.221 5.835
Pu 0.000 6.151 3.202
Tm 2.075 0.000 0.000
Se 0.000 6.093 6.169
Se 2.075 4.139 3.034
Se 2.075 -0.163 2.868
Se 2.075 -0.408 8.769
Se 0.000 6.339 0.269
Se 0.000 1.791 6.003
Pr 2.075 3.935 6.013
Pr 0.000 1.995 3.025
```

## Properties
The uncorrected energy comes out at -98.0 eV for the cell shown.

---

Record 7
Crystalline Ca4AlAu at its relaxed geometry, computed with PBE.

Structure (extended XYZ):
```
6
Lattice="0.000 4.550 4.550 4.550 0.000 4.550 4.550 4.550 0.000" Properties=species:S:1:pos:R:3 pbc="T T T"
Au 0.000 0.000 0.000
Ca 3.414 5.686 5.686
Ca 5.686 3.414 5.686
Ca 5.686 5.686 3.414
Ca 3.414 3.414 3.414
Al 6.825 6.825 6.825
```

## Properties
The uncorrected energy comes out at -12.8 eV for the cell shown. Its formation energy is 0.38 eV per atom.

---

Record 8
Crystalline NaMg3Nb at its relaxed geometry, computed with PBE.

Structure (extended XYZ):
```
5
Lattice="5.538 0.000 0.000 0.000 5.538 0.000 0.000 0.000 5.538" Properties=species:S:1:pos:R:3 pbc="T T T"
Mg 0.000 2.769 0.000
Mg 2.769 0.000 0.000
Mg 0.000 0.000 2.769
Na 2.769 2.769 2.769
Nb 0.000 0.000 0.000
```

## Properties
The uncorrected energy comes out at -11.8 eV for the cell shown. Its formation energy is 0.87 eV per atom.

---

Number 1: size of the total moment 0.0 Bohr magnetons per cell, density of states at the Fermi level 0.49 states/eV per atom. Number 2: size of the total moment 18.0 Bohr magnetons per cell, density of states at the Fermi level 2.27 states/eV per atom. Number 3: size of the total moment 0.0 Bohr magnetons per cell, density of states at the Fermi level 1.20 states/eV per atom. Number 4: size of the total moment 0.0 Bohr magnetons per cell, density of states at the Fermi level 1.23 states/eV per atom. Number 5: size of the total moment 0.0 Bohr magnetons per cell, density of states at the Fermi level 0.31 states/eV per atom. Number 6: size of the total moment 17.4 Bohr magnetons per cell, density of states at the Fermi level 2.26 states/eV per atom. Number 7: size of the total moment 0.0 Bohr magnetons per cell, density of states at the Fermi level 1.11 states/eV per atom. Number 8: size of the total moment 3.7 Bohr magnetons per cell, density of states at the Fermi level 0.72 states/eV per atom.